1.
Ca3SmPt2: optimized geometry, PBE-GGA.

Computed properties:
ΔH_f (0 K)   -0.78 eV per atom
Theoretical density   6.9 g cm⁻³

abc: 4.536 9.273 7.553
angles: 90.00 90.00 90.00
Positions (direct):
Ca 0.000 0.088 0.000
Ca 0.000 0.316 0.381
Ca 0.000 0.684 0.881
Ca 0.000 0.912 0.500
Ca 0.500 0.176 0.666
Ca 0.500 0.824 0.166
Sm 0.500 0.414 0.042
Sm 0.500 0.586 0.542
Pt 0.000 0.373 0.778
Pt 0.000 0.627 0.278
Pt 0.500 0.145 0.257
Pt 0.500 0.855 0.757

2.
CaSm3Pt: optimized geometry, PBE-GGA.

Computed properties:
Distance to the lowest polymorph of the same formula   0 meV per atom
ΔH_f (0 K)   -0.35 eV per atom
Theoretical density   6.7 g cm⁻³

abc: 7.818 7.818 6.407
angles: 90.00 90.00 120.00
Positions (direct):
Ca 0.333 0.667 0.250
Ca 0.667 0.333 0.750
Sm 0.175 0.350 0.750
Sm 0.175 0.825 0.750
Sm 0.350 0.175 0.250
Sm 0.650 0.825 0.750
Sm 0.825 0.175 0.250
Sm 0.825 0.650 0.250
Pt 0.000 0.000 0.000
Pt 0.000 0.000 0.500

3.
CaSm2Pt: optimized geometry, PBE-GGA.

Computed properties:
Distance to the lowest polymorph of the same formula   0 meV per atom
ΔH_f (0 K)   -0.59 eV per atom
Theoretical density   7.5 g cm⁻³

abc: 6.580 6.580 9.287
angles: 90.00 90.00 144.08
Positions (direct):
Ca 0.068 0.932 0.750
Ca 0.932 0.068 0.250
Sm 0.357 0.643 0.560
Sm 0.357 0.643 0.940
Sm 0.643 0.357 0.060
Sm 0.643 0.357 0.440
Pt 0.237 0.763 0.250
Pt 0.763 0.237 0.750

4.
Ca2Sm3Pt4: optimized geometry, PBE-GGA.

Computed properties:
ΔH_f (0 K)   -1.04 eV per atom
Theoretical density   9.7 g cm⁻³

abc: 7.872 7.809 7.721
angles: 90.00 109.64 90.00
Positions (direct):
Ca 0.196 0.178 0.078
Ca 0.196 0.322 0.578
Ca 0.804 0.678 0.422
Ca 0.804 0.822 0.922
Sm 0.239 0.667 0.249
Sm 0.239 0.833 0.749
Sm 0.500 0.000 0.500
Sm 0.500 0.500 0.000
Sm 0.761 0.167 0.251
Sm 0.761 0.333 0.751
Pt 0.094 0.535 0.868
Pt 0.094 0.965 0.368
Pt 0.498 0.630 0.628
Pt 0.498 0.870 0.128
Pt 0.502 0.130 0.872
Pt 0.502 0.370 0.372
Pt 0.906 0.035 0.632
Pt 0.906 0.465 0.132

5.
CaSm3Pt2: optimized geometry, PBE-GGA.

Computed properties:
ΔH_f (0 K)   -0.84 eV per atom
Theoretical density   9.1 g cm⁻³

abc: 4.854 8.924 7.417
angles: 90.00 90.00 90.00
Positions (direct):
Ca 0.000 0.082 0.000
Ca 0.000 0.918 0.500
Sm 0.000 0.332 0.632
Sm 0.000 0.668 0.132
Sm 0.500 0.169 0.342
Sm 0.500 0.417 0.978
Sm 0.500 0.583 0.478
Sm 0.500 0.831 0.842
Pt 0.000 0.349 0.239
Pt 0.000 0.651 0.739
Pt 0.500 0.162 0.735
Pt 0.500 0.838 0.235

6.
CaSm2Pt: optimized geometry, PBE-GGA.

Computed properties:
Distance to the lowest polymorph of the same formula   76 meV per atom
ΔH_f (0 K)   -0.52 eV per atom
Theoretical density   7.2 g cm⁻³

abc: 3.613 3.613 9.508
angles: 90.00 90.00 90.00
Positions (direct):
Ca 0.000 0.000 0.000
Sm 0.500 0.500 0.325
Sm 0.500 0.500 0.675
Pt 0.000 0.000 0.500

7.
Ca3Sm2Pt2: optimized geometry, PBE-GGA.

Computed properties:
ΔH_f (0 K)   -0.68 eV per atom
Theoretical density   6.5 g cm⁻³

abc: 6.768 6.768 8.493
angles: 109.85 109.85 34.90
Positions (direct):
Ca 0.000 0.000 0.000
Ca 0.127 0.127 0.431
Ca 0.873 0.873 0.569
Sm 0.331 0.331 0.177
Sm 0.669 0.669 0.823
Pt 0.318 0.318 0.807
Pt 0.682 0.682 0.193

8.
Ca2Sm5Pt3: optimized geometry, PBE-GGA.

Computed properties:
ΔH_f (0 K)   -0.73 eV per atom
Theoretical density   8.4 g cm⁻³

abc: 15.060 15.060 7.635
angles: 90.00 90.00 161.21
Positions (direct):
Ca 0.026 0.974 0.500
Ca 0.330 0.670 0.480
Ca 0.670 0.330 0.980
Ca 0.974 0.026 0.000
Sm 0.094 0.906 0.122
Sm 0.204 0.796 0.707
Sm 0.212 0.788 0.270
Sm 0.374 0.626 0.988
Sm 0.451 0.549 0.340
Sm 0.549 0.451 0.840
Sm 0.626 0.374 0.488
Sm 0.788 0.212 0.770
Sm 0.796 0.204 0.207
Sm 0.906 0.094 0.622
Pt 0.105 0.895 0.741
Pt 0.275 0.725 0.987
Pt 0.452 0.548 0.725
Pt 0.548 0.452 0.225
Pt 0.725 0.275 0.487
Pt 0.895 0.105 0.241

9.
Ca3SmPt8: optimized geometry, PBE-GGA.

Computed properties:
ΔH_f (0 K)   -0.99 eV per atom
Theoretical density   13.2 g cm⁻³

abc: 9.432 9.432 9.432
angles: 33.73 33.73 33.73
Positions (direct):
Ca 0.000 0.000 0.000
Ca 0.123 0.123 0.123
Ca 0.628 0.628 0.628
Sm 0.502 0.502 0.502
Pt 0.064 0.064 0.561
Pt 0.064 0.561 0.064
Pt 0.065 0.563 0.563
Pt 0.313 0.313 0.313
Pt 0.561 0.064 0.064
Pt 0.563 0.065 0.563
Pt 0.563 0.563 0.065
Pt 0.813 0.813 0.813

10.
CaSmPt2: optimized geometry, PBE-GGA.

Computed properties:
Distance to the lowest polymorph of the same formula   0 meV per atom
ΔH_f (0 K)   -1.06 eV per atom
Theoretical density   10.3 g cm⁻³

abc: 3.932 4.413 5.736
angles: 90.00 109.96 90.00
Positions (direct):
Ca 0.000 0.000 0.000
Sm 0.719 0.500 0.438
Pt 0.277 0.000 0.552
Pt 0.441 0.500 0.882

11.
CaSm2Pt: optimized geometry, PBE-GGA.

Computed properties:
Distance to the lowest polymorph of the same formula   19 meV per atom
ΔH_f (0 K)   -0.58 eV per atom
Theoretical density   6.8 g cm⁻³

abc: 10.366 6.710 7.518
angles: 90.00 90.00 90.00
Positions (direct):
Ca 0.125 0.238 0.250
Ca 0.125 0.262 0.750
Ca 0.875 0.738 0.250
Ca 0.875 0.762 0.750
Sm 0.197 0.750 0.000
Sm 0.197 0.750 0.500
Sm 0.455 0.250 0.000
Sm 0.455 0.250 0.500
Sm 0.545 0.750 0.000
Sm 0.545 0.750 0.500
Sm 0.803 0.250 0.000
Sm 0.803 0.250 0.500
Pt 0.356 0.545 0.750
Pt 0.356 0.955 0.250
Pt 0.644 0.045 0.750
Pt 0.644 0.455 0.250

12.
CaSm2Pt: optimized geometry, PBE-GGA.

Computed properties:
Distance to the lowest polymorph of the same formula   77 meV per atom
ΔH_f (0 K)   -0.52 eV per atom
Theoretical density   6.3 g cm⁻³

abc: 9.777 9.777 9.777
angles: 24.45 24.45 24.45
Positions (direct):
Ca 0.000 0.000 0.000
Sm 0.221 0.221 0.221
Sm 0.779 0.779 0.779
Pt 0.500 0.500 0.500

13.
CaSm3Pt8: optimized geometry, PBE-GGA.

Computed properties:
ΔH_f (0 K)   -1.06 eV per atom
Theoretical density   14.7 g cm⁻³

abc: 9.486 9.486 9.486
angles: 33.57 33.57 33.57
Positions (direct):
Ca 0.000 0.000 0.000
Sm 0.124 0.124 0.124
Sm 0.503 0.503 0.503
Sm 0.629 0.629 0.629
Pt 0.064 0.064 0.563
Pt 0.064 0.563 0.064
Pt 0.066 0.563 0.563
Pt 0.314 0.314 0.314
Pt 0.563 0.064 0.064
Pt 0.563 0.066 0.563
Pt 0.563 0.563 0.066
Pt 0.814 0.814 0.814

14.
Ca4SmPt5: optimized geometry, PBE-GGA.

Computed properties:
ΔH_f (0 K)   -0.94 eV per atom
Theoretical density   9.8 g cm⁻³

abc: 3.528 3.528 17.416
angles: 90.00 90.00 90.00
Positions (direct):
Ca 0.000 0.000 0.099
Ca 0.000 0.000 0.295
Ca 0.000 0.000 0.705
Ca 0.000 0.000 0.901
Sm 0.000 0.000 0.500
Pt 0.500 0.500 0.000
Pt 0.500 0.500 0.198
Pt 0.500 0.500 0.402
Pt 0.500 0.500 0.598
Pt 0.500 0.500 0.802

15.
CaSmPt4: optimized geometry, PBE-GGA.

Computed properties:
ΔH_f (0 K)   -1.03 eV per atom
Theoretical density   13.9 g cm⁻³

abc: 5.468 5.468 5.468
angles: 60.00 60.00 60.00
Positions (direct):
Ca 0.000 0.000 0.000
Sm 0.250 0.250 0.250
Pt 0.124 0.625 0.625
Pt 0.625 0.124 0.625
Pt 0.625 0.625 0.124
Pt 0.625 0.625 0.625

16.
CaSm2Pt9: optimized geometry, PBE-GGA.

Computed properties:
ΔH_f (0 K)   -0.86 eV per atom
Theoretical density   15.2 g cm⁻³

abc: 9.405 9.405 9.405
angles: 33.74 33.74 33.74
Positions (direct):
Ca 0.000 0.000 0.000
Sm 0.139 0.139 0.139
Sm 0.861 0.861 0.861
Pt 0.080 0.587 0.587
Pt 0.333 0.333 0.333
Pt 0.413 0.413 0.920
Pt 0.413 0.920 0.413
Pt 0.500 0.500 0.500
Pt 0.587 0.080 0.587
Pt 0.587 0.587 0.080
Pt 0.667 0.667 0.667
Pt 0.920 0.413 0.413

17.
CaSmSnPt: optimized geometry, PBE-GGA.

Computed properties:
ΔH_f (0 K)   -0.77 eV per atom
Theoretical density   8.4 g cm⁻³

abc: 5.205 5.205 5.205
angles: 60.00 60.00 60.00
Positions (direct):
Ca 0.000 0.000 0.000
Sm 0.500 0.500 0.500
Sn 0.750 0.750 0.750
Pt 0.250 0.250 0.250

18.
CaSmTh2Pt4: optimized geometry, PBE-GGA.

Computed properties:
ΔH_f (0 K)   -1.08 eV per atom
Theoretical density   11.7 g cm⁻³

abc: 7.198 5.891 7.161
angles: 66.11 48.45 65.45
Positions (direct):
Ca 0.000 0.000 0.000
Sm 0.537 0.537 0.463
Th 0.299 0.299 0.201
Th 0.799 0.799 0.701
Pt 0.039 0.498 0.961
Pt 0.300 0.799 0.201
Pt 0.498 0.039 0.502
Pt 0.799 0.300 0.700

19.
CaSmTlPt: optimized geometry, PBE-GGA.

Computed properties:
ΔH_f (0 K)   -0.64 eV per atom
Theoretical density   9.8 g cm⁻³

abc: 5.212 5.212 5.212
angles: 60.00 60.00 60.00
Positions (direct):
Ca 0.000 0.000 0.000
Sm 0.500 0.500 0.500
Tl 0.250 0.250 0.250
Pt 0.750 0.750 0.750

20.
CaSmZnPt: optimized geometry, PBE-GGA.

Computed properties:
Distance to the lowest polymorph of the same formula   47 meV per atom
ΔH_f (0 K)   -0.67 eV per atom
Theoretical density   8.2 g cm⁻³

abc: 5.046 5.046 5.046
angles: 60.00 60.00 60.00
Positions (direct):
Ca 0.000 0.000 0.000
Sm 0.500 0.500 0.500
Zn 0.750 0.750 0.750
Pt 0.250 0.250 0.250